No. 1
Below is a relaxed structure of Pr3Ti5S12, with properties calculated at the PBE level.

Cell: 13.3052 13.3052 13.3052 Å, 109.47 109.47 109.47°
Atoms (fractional coordinates):
Pr (0.1250, 0.2500, 0.3750)
Pr (0.1250, 0.3750, 0.7500)
Pr (0.2500, 0.3750, 0.1250)
Pr (0.2500, 0.8750, 0.6250)
Pr (0.3750, 0.1250, 0.2500)
Pr (0.3750, 0.7500, 0.1250)
Pr (0.6250, 0.2500, 0.8750)
Pr (0.6250, 0.8750, 0.7500)
Pr (0.7500, 0.1250, 0.3750)
Pr (0.7500, 0.6250, 0.8750)
Pr (0.8750, 0.6250, 0.2500)
Pr (0.8750, 0.7500, 0.6250)
Ti (0.0000, 0.0000, 0.0000)
Ti (0.0000, 0.0000, 0.5000)
Ti (0.0000, 0.5000, 0.0000)
Ti (0.0000, 0.5000, 0.5000)
Ti (0.1250, 0.7500, 0.8750)
Ti (0.1250, 0.8750, 0.2500)
Ti (0.2500, 0.1250, 0.8750)
Ti (0.2500, 0.6250, 0.3750)
Ti (0.3750, 0.2500, 0.6250)
Ti (0.3750, 0.6250, 0.7500)
Ti (0.5000, 0.0000, 0.0000)
Ti (0.5000, 0.0000, 0.5000)
Ti (0.5000, 0.5000, 0.0000)
Ti (0.5000, 0.5000, 0.5000)
Ti (0.6250, 0.3750, 0.2500)
Ti (0.6250, 0.7500, 0.3750)
Ti (0.7500, 0.3750, 0.6250)
Ti (0.7500, 0.8750, 0.1250)
Ti (0.8750, 0.1250, 0.7500)
Ti (0.8750, 0.2500, 0.1250)
S (0.0274, 0.2068, 0.1187)
S (0.0274, 0.3206, 0.9087)
S (0.0881, 0.7068, 0.6794)
S (0.0881, 0.8813, 0.4087)
S (0.0913, 0.6187, 0.4119)
S (0.0913, 0.9726, 0.6794)
S (0.1187, 0.0274, 0.2068)
S (0.1187, 0.5913, 0.9119)
S (0.1794, 0.2068, 0.5881)
S (0.1794, 0.4726, 0.5913)
S (0.2068, 0.1187, 0.0274)
S (0.2068, 0.5881, 0.1794)
S (0.2932, 0.3206, 0.9119)
S (0.2932, 0.4726, 0.3813)
S (0.3206, 0.9087, 0.0274)
S (0.3206, 0.9119, 0.2932)
S (0.3813, 0.2932, 0.4726)
S (0.3813, 0.5881, 0.9087)
S (0.4087, 0.0881, 0.8813)
S (0.4087, 0.8206, 0.5274)
S (0.4119, 0.0913, 0.6187)
S (0.4119, 0.8206, 0.7932)
S (0.4726, 0.3813, 0.2932)
S (0.4726, 0.5913, 0.1794)
S (0.5274, 0.4087, 0.8206)
S (0.5274, 0.6187, 0.7068)
S (0.5881, 0.1794, 0.2068)
S (0.5881, 0.9087, 0.3813)
S (0.5913, 0.1794, 0.4726)
S (0.5913, 0.9119, 0.1187)
S (0.6187, 0.4119, 0.0913)
S (0.6187, 0.7068, 0.5274)
S (0.6794, 0.0881, 0.7068)
S (0.6794, 0.0913, 0.9726)
S (0.7068, 0.5274, 0.6187)
S (0.7068, 0.6794, 0.0881)
S (0.7932, 0.4119, 0.8206)
S (0.7932, 0.8813, 0.9726)
S (0.8206, 0.5274, 0.4087)
S (0.8206, 0.7932, 0.4119)
S (0.8813, 0.4087, 0.0881)
S (0.8813, 0.9726, 0.7932)
S (0.9087, 0.0274, 0.3206)
S (0.9087, 0.3813, 0.5881)
S (0.9119, 0.1187, 0.5913)
S (0.9119, 0.2932, 0.3206)
S (0.9726, 0.6794, 0.0913)
S (0.9726, 0.7932, 0.8813)

Output
* formation energy (no corrections): -1.5058 eV/atom

No. 2
Below is a relaxed structure of RbZnIBr2, with properties calculated at the PBE level.

Cell: 8.0846 6.3354 8.3967 Å, 90.00 104.62 90.00°
Atoms (fractional coordinates):
Rb (0.2072, 0.2500, 0.3134)
Rb (0.7928, 0.7500, 0.6866)
Zn (0.4207, 0.2500, 0.8466)
Zn (0.5793, 0.7500, 0.1534)
I (0.0930, 0.2500, 0.7508)
I (0.9070, 0.7500, 0.2492)
Br (0.4134, 0.7500, 0.3505)
Br (0.4359, 0.7500, 0.8668)
Br (0.5641, 0.2500, 0.1332)
Br (0.5866, 0.2500, 0.6495)

Output
* E above lowest polymorph: 0.000 eV per atom
* formation energy (no corrections): -1.1395 eV/atom

No. 3
Below is a relaxed structure of Tc2NiAgBi, with properties calculated at the PBE level.

Cell: 5.0082 5.0082 5.1083 Å, 90.00 90.00 90.00°
Atoms (fractional coordinates):
Tc (0.0000, 0.5000, 0.0000)
Tc (0.5000, 0.0000, 0.0000)
Ni (0.0000, 0.0000, 0.5000)
Ag (0.5000, 0.5000, 0.5000)
Bi (0.5000, 0.5000, 0.0000)

Output
* energy of formation from the pure elements: 2345.9 meV per atom

No. 4
Below is a relaxed structure of CeLuGeIr, with properties calculated at the PBE level.

Cell: 7.0107 7.0107 7.0107 Å, 90.00 90.00 90.00°
Atoms (fractional coordinates):
Ce (0.0000, 0.0000, 0.0000)
Ce (0.0000, 0.5000, 0.5000)
Ce (0.5000, 0.0000, 0.5000)
Ce (0.5000, 0.5000, 0.0000)
Lu (0.0000, 0.0000, 0.5000)
Lu (0.0000, 0.5000, 0.0000)
Lu (0.5000, 0.0000, 0.0000)
Lu (0.5000, 0.5000, 0.5000)
Ge (0.2500, 0.2500, 0.7500)
Ge (0.2500, 0.7500, 0.2500)
Ge (0.7500, 0.2500, 0.2500)
Ge (0.7500, 0.7500, 0.7500)
Ir (0.2500, 0.2500, 0.2500)
Ir (0.2500, 0.7500, 0.7500)
Ir (0.7500, 0.2500, 0.7500)
Ir (0.7500, 0.7500, 0.2500)

Output
* energy of formation from the pure elements: -648.9 meV per atom

No. 5
Below is a relaxed structure of Ni2IrS, with properties calculated at the PBE level.

Cell: 6.6183 6.6183 4.6768 Å, 90.00 90.00 90.00°
Atoms (fractional coordinates):
Ni (0.2041, 0.2500, 0.1250)
Ni (0.2500, 0.7041, 0.3750)
Ni (0.2500, 0.7959, 0.8750)
Ni (0.2959, 0.2500, 0.6250)
Ni (0.7041, 0.7500, 0.6250)
Ni (0.7500, 0.2041, 0.8750)
Ni (0.7500, 0.2959, 0.3750)
Ni (0.7959, 0.7500, 0.1250)
Ir (0.0000, 0.0000, 0.5000)
Ir (0.0000, 0.5000, 0.7500)
Ir (0.5000, 0.0000, 0.2500)
Ir (0.5000, 0.5000, 0.0000)
S (0.0000, 0.0000, 0.0000)
S (0.0000, 0.5000, 0.2500)
S (0.5000, 0.0000, 0.7500)
S (0.5000, 0.5000, 0.5000)

Output
* formation energy (no corrections): 0.1178 eV/atom

No. 6
Below is a relaxed structure of LiPtRhW, with properties calculated at the PBE level.

Cell: 6.1500 6.1500 6.1500 Å, 90.00 90.00 90.00°
Atoms (fractional coordinates):
Li (0.0000, 0.0000, 0.0000)
Li (0.0000, 0.5000, 0.5000)
Li (0.5000, 0.0000, 0.5000)
Li (0.5000, 0.5000, 0.0000)
Pt (0.2500, 0.2500, 0.7500)
Pt (0.2500, 0.7500, 0.2500)
Pt (0.7500, 0.2500, 0.2500)
Pt (0.7500, 0.7500, 0.7500)
Rh (0.2500, 0.2500, 0.2500)
Rh (0.2500, 0.7500, 0.7500)
Rh (0.7500, 0.2500, 0.7500)
Rh (0.7500, 0.7500, 0.2500)
W (0.0000, 0.0000, 0.5000)
W (0.0000, 0.5000, 0.0000)
W (0.5000, 0.0000, 0.0000)
W (0.5000, 0.5000, 0.5000)

Output
* energy of formation from the pure elements: -161.0 meV per atom

No. 7
Below is a relaxed structure of ZrCdAg2, with properties calculated at the PBE level.

Cell: 3.0507 3.0507 8.4973 Å, 90.00 90.00 90.00°
Atoms (fractional coordinates):
Zr (0.0000, 0.0000, 0.0000)
Cd (0.5000, 0.5000, 0.7289)
Ag (0.0000, 0.0000, 0.4862)
Ag (0.5000, 0.5000, 0.2522)

Output
* energy of formation from the pure elements: -34.9 meV per atom

No. 8
Below is a relaxed structure of La4NdEr3, with properties calculated at the PBE level.

Cell: 24.3921 3.6817 6.3083 Å, 90.00 104.78 90.00°
Atoms (fractional coordinates):
La (0.1237, 0.0000, 0.4584)
La (0.2481, 0.0000, 0.2428)
La (0.2519, 0.5000, 0.7572)
La (0.3763, 0.5000, 0.5416)
La (0.6237, 0.5000, 0.4584)
La (0.7481, 0.5000, 0.2428)
La (0.7519, 0.0000, 0.7572)
La (0.8763, 0.0000, 0.5416)
Nd (0.0000, 0.0000, 0.0000)
Nd (0.5000, 0.5000, 0.0000)
Er (0.0000, 0.5000, 0.5000)
Er (0.1233, 0.5000, 0.9559)
Er (0.3767, 0.0000, 0.0441)
Er (0.5000, 0.0000, 0.5000)
Er (0.6233, 0.0000, 0.9559)
Er (0.8767, 0.5000, 0.0441)

Output
* energy of formation from the pure elements: 8.6 meV per atom
* E above lowest polymorph: 0.000 eV per atom

No. 9
Below is a relaxed structure of Ca4ReSi, with properties calculated at the PBE level.

Cell: 5.9608 5.9608 5.9608 Å, 60.00 60.00 60.00°
Atoms (fractional coordinates):
Ca (0.1242, 0.1242, 0.1242)
Ca (0.1242, 0.1242, 0.6273)
Ca (0.1242, 0.6273, 0.1242)
Ca (0.6273, 0.1242, 0.1242)
Re (0.7500, 0.7500, 0.7500)
Si (0.5000, 0.5000, 0.5000)

Output
* formation energy (no corrections): 1.1525 eV/atom

No. 10
Below is a relaxed structure of Al2TlCl, with properties calculated at the PBE level.

Cell: 12.3022 3.3243 5.0038 Å, 90.00 113.93 90.00°
Atoms (fractional coordinates):
Al (0.2408, 0.0000, 0.2409)
Al (0.2592, 0.5000, 0.7591)
Al (0.7408, 0.5000, 0.2409)
Al (0.7592, 0.0000, 0.7591)
Tl (0.0000, 0.5000, 0.5000)
Tl (0.5000, 0.0000, 0.5000)
Cl (0.0000, 0.0000, 0.0000)
Cl (0.5000, 0.5000, 0.0000)

Output
* E above lowest polymorph: 0.066 eV per atom
* formation energy (no corrections): -0.0654 eV/atom

No. 11
Below is a relaxed structure of Er2Tm2Al3, with properties calculated at the PBE level.

Cell: 3.4984 27.7992 3.5217 Å, 90.00 90.00 90.00°
Atoms (fractional coordinates):
Er (0.0000, 0.1942, 0.0000)
Er (0.0000, 0.8058, 0.0000)
Er (0.5000, 0.3058, 0.0000)
Er (0.5000, 0.6942, 0.0000)
Tm (0.0000, 0.0644, 0.0000)
Tm (0.0000, 0.9356, 0.0000)
Tm (0.5000, 0.4356, 0.0000)
Tm (0.5000, 0.5644, 0.0000)
Al (0.0000, 0.3705, 0.5000)
Al (0.0000, 0.5000, 0.5000)
Al (0.0000, 0.6295, 0.5000)
Al (0.5000, 0.0000, 0.5000)
Al (0.5000, 0.1295, 0.5000)
Al (0.5000, 0.8705, 0.5000)

Output
* energy of formation from the pure elements: -277.9 meV per atom
* E above lowest polymorph: 0.009 eV per atom

No. 12
Below is a relaxed structure of LaCdSeN2, with properties calculated at the PBE level.

Cell: 4.3707 4.3707 5.1246 Å, 90.00 90.00 90.00°
Atoms (fractional coordinates):
La (0.0000, 0.0000, 0.0000)
Cd (0.5000, 0.5000, 0.5000)
Se (0.5000, 0.5000, 0.0000)
N (0.0000, 0.5000, 0.5000)
N (0.5000, 0.0000, 0.5000)

Output
* E above lowest polymorph: 0.000 eV per atom
* formation energy (no corrections): 0.5301 eV/atom

no.,E (eV for the cell shown)
1,-533.83
2,-25.67
3,-21.52
4,-106.12
5,-96.32
6,-115.61
7,-15.31
8,-76.19
9,-18.96
10,-23.92
11,-62.48
12,-23.33